No. 1
# YScSe3 (GGA-PBE, relaxed)
# magnetization	0.00	μB/atom
# uncorrected formation energy	-4.71	eV per formula unit
# space group	Cmcm
data_YScSe3
_chemical_formula_sum 'Y2 Sc2 Se6'
_symmetry_space_group_name_H-M 'P 1'
_symmetry_Int_Tables_number 1
_cell_length_a 8.034
_cell_length_b 8.034
_cell_length_c 6.717
_cell_angle_alpha 90.00
_cell_angle_beta 90.00
_cell_angle_gamma 142.03
loop_
_symmetry_equiv_pos_as_xyz
'x,y,z'
loop_
_atom_site_label
_atom_site_fract_x
_atom_site_fract_y
_atom_site_fract_z
Y1 0.446 0.554 0.250
Y2 0.554 0.446 0.750
Sc1 0.138 0.862 0.250
Sc2 0.862 0.138 0.750
Se1 0.548 0.971 0.250
Se2 0.029 0.452 0.250
Se3 0.971 0.548 0.750
Se4 0.452 0.029 0.750
Se5 0.000 0.000 0.000
Se6 0.000 0.000 0.500

=====

No. 2
# Ce3Sn2Pd (GGA-PBE, relaxed)
# magnetization	0.64	μB/atom
# total DFT energy (no corrections)	-5.82	eV/atom
# space group	Pnma
data_Ce3Sn2Pd
_chemical_formula_sum 'Ce12 Sn8 Pd4'
_symmetry_space_group_name_H-M 'P 1'
_symmetry_Int_Tables_number 1
_cell_length_a 4.597
_cell_length_b 11.602
_cell_length_c 12.647
_cell_angle_alpha 90.00
_cell_angle_beta 90.00
_cell_angle_gamma 90.00
loop_
_symmetry_equiv_pos_as_xyz
'x,y,z'
loop_
_atom_site_label
_atom_site_fract_x
_atom_site_fract_y
_atom_site_fract_z
Ce1 0.250 0.379 0.047
Ce2 0.750 0.621 0.953
Ce3 0.750 0.879 0.453
Ce4 0.250 0.121 0.547
Ce5 0.250 0.700 0.232
Ce6 0.750 0.300 0.768
Ce7 0.750 0.200 0.268
Ce8 0.250 0.800 0.732
Ce9 0.250 0.442 0.373
Ce10 0.750 0.558 0.627
Ce11 0.750 0.942 0.127
Ce12 0.250 0.058 0.873
Sn1 0.250 0.693 0.495
Sn2 0.750 0.307 0.505
Sn3 0.750 0.193 0.005
Sn4 0.250 0.807 0.995
Sn5 0.250 0.994 0.307
Sn6 0.750 0.006 0.693
Sn7 0.750 0.494 0.193
Sn8 0.250 0.506 0.807
Pd1 0.250 0.126 0.120
Pd2 0.750 0.874 0.880
Pd3 0.750 0.626 0.380
Pd4 0.250 0.374 0.620

=====

No. 3
# Sm3HoTe4 (GGA-PBE, relaxed)
# magnetization	0.00	μB/atom
# uncorrected formation energy	-10.78	eV per formula unit
# space group	Cmmm
data_Sm3HoTe4
_chemical_formula_sum 'Sm3 Ho1 Te4'
_symmetry_space_group_name_H-M 'P 1'
_symmetry_Int_Tables_number 1
_cell_length_a 4.361
_cell_length_b 7.685
_cell_length_c 7.685
_cell_angle_alpha 108.80
_cell_angle_beta 90.00
_cell_angle_gamma 90.00
loop_
_symmetry_equiv_pos_as_xyz
'x,y,z'
loop_
_atom_site_label
_atom_site_fract_x
_atom_site_fract_y
_atom_site_fract_z
Sm1 0.000 0.000 0.500
Sm2 0.500 0.500 0.500
Sm3 0.000 0.500 0.000
Ho1 0.500 0.000 0.000
Te1 0.000 0.244 0.244
Te2 0.500 0.753 0.247
Te3 0.000 0.756 0.756
Te4 0.500 0.247 0.753

=====

No. 4
# Sc2TlSb2 (GGA-PBE, relaxed)
# magnetization	0.00	μB/atom
# uncorrected formation energy	-2.54	eV per formula unit
# energy relative to the lowest polymorph listed for this composition	48	meV per atom
# space group	P4/mbm
data_Sc2TlSb2
_chemical_formula_sum 'Sc4 Tl2 Sb4'
_symmetry_space_group_name_H-M 'P 1'
_symmetry_Int_Tables_number 1
_cell_length_a 8.404
_cell_length_b 8.404
_cell_length_c 3.669
_cell_angle_alpha 90.00
_cell_angle_beta 90.00
_cell_angle_gamma 90.00
loop_
_symmetry_equiv_pos_as_xyz
'x,y,z'
loop_
_atom_site_label
_atom_site_fract_x
_atom_site_fract_y
_atom_site_fract_z
Sc1 0.145 0.645 0.500
Sc2 0.645 0.855 0.500
Sc3 0.855 0.355 0.500
Sc4 0.355 0.145 0.500
Sb1 0.352 0.852 0.000
Sb2 0.852 0.648 0.000
Sb3 0.648 0.148 0.000
Sb4 0.148 0.352 0.000
Tl1 0.000 0.000 0.000
Tl2 0.500 0.500 0.000

=====

No. 5
# TbPr3Y3 (GGA-PBE, relaxed)
# magnetization	0.00	μB/atom
# energy relative to the lowest polymorph listed for this composition	0	meV per atom
# space group	R-3
data_TbPr3Y3
_chemical_formula_sum 'Tb2 Pr6 Y6'
_symmetry_space_group_name_H-M 'P 1'
_symmetry_Int_Tables_number 1
_cell_length_a 8.849
_cell_length_b 8.849
_cell_length_c 8.849
_cell_angle_alpha 60.11
_cell_angle_beta 60.11
_cell_angle_gamma 60.11
loop_
_symmetry_equiv_pos_as_xyz
'x,y,z'
loop_
_atom_site_label
_atom_site_fract_x
_atom_site_fract_y
_atom_site_fract_z
Tb1 0.354 0.354 0.354
Tb2 0.646 0.646 0.646
Pr1 0.704 0.185 0.937
Pr2 0.185 0.937 0.704
Pr3 0.937 0.704 0.185
Pr4 0.063 0.296 0.815
Pr5 0.815 0.063 0.296
Pr6 0.296 0.815 0.063
Y1 0.728 0.569 0.058
Y2 0.058 0.728 0.569
Y3 0.569 0.058 0.728
Y4 0.431 0.942 0.272
Y5 0.942 0.272 0.431
Y6 0.272 0.431 0.942

=====

No. 6
# K2Pm2NpO6 (GGA-PBE, relaxed)
# magnetization	0.27	μB/atom
# uncorrected formation energy	-30.03	eV per formula unit
# space group	C2/m
data_K2Pm2NpO6
_chemical_formula_sum 'K2 Pm2 Np1 O6'
_symmetry_space_group_name_H-M 'P 1'
_symmetry_Int_Tables_number 1
_cell_length_a 6.184
_cell_length_b 6.184
_cell_length_c 6.688
_cell_angle_alpha 98.54
_cell_angle_beta 98.54
_cell_angle_gamma 119.92
loop_
_symmetry_equiv_pos_as_xyz
'x,y,z'
loop_
_atom_site_label
_atom_site_fract_x
_atom_site_fract_y
_atom_site_fract_z
K1 0.834 0.166 0.000
K2 0.166 0.834 0.000
Pm1 0.334 0.666 0.500
Pm2 0.666 0.334 0.500
Np1 0.000 0.000 0.500
O1 0.750 0.750 0.674
O2 0.048 0.376 0.676
O3 0.250 0.250 0.326
O4 0.376 0.048 0.676
O5 0.952 0.624 0.324
O6 0.624 0.952 0.324